[1]
Crystalline KBa2LiCu at its relaxed geometry, computed with GGA-PBE.

Values from the calculation:
energy above the most stable polymorph in this dataset	0	meV per atom
magnetic moment	0.000	μB/f.u.
ΔH_f (0 K)	0.112	eV/atom
final energy	-2.079	eV per atom

Geometry as CIF:
```
data_KBa2LiCu
_cell_length_a 6.404
_cell_length_b 6.404
_cell_length_c 5.550
_cell_angle_alpha 90.00
_cell_angle_beta 90.00
_cell_angle_gamma 90.00
_space_group_name_H-M_alt 'P 4/m m m'
_space_group_IT_number 123
_space_group_name_Hall '-P 4 2'
loop_
_atom_site_label
_atom_site_type_symbol
_atom_site_fract_x
_atom_site_fract_y
_atom_site_fract_z
K1 K 0.000 0.000 0.000
Ba1 Ba 0.000 0.500 0.500
Li1 Li 0.500 0.500 0.000
Cu1 Cu 0.500 0.500 0.500
```



[2]
Crystalline LaSiHg4 at its relaxed geometry, computed with GGA-PBE.

Values from the calculation:
magnetic moment	0.000	μB/f.u.
final energy	-1.851	eV per atom
formation energy from raw total energies	0.076	eV/atom

Geometry as CIF:
```
data_LaSiHg4
_cell_length_a 8.486
_cell_length_b 8.486
_cell_length_c 8.486
_cell_angle_alpha 90.00
_cell_angle_beta 90.00
_cell_angle_gamma 90.00
_space_group_name_H-M_alt 'F -4 3 m'
_space_group_IT_number 216
_space_group_name_Hall 'F -4 2 3'
loop_
_atom_site_label
_atom_site_type_symbol
_atom_site_fract_x
_atom_site_fract_y
_atom_site_fract_z
La1 La 0.000 0.000 0.000
Si1 Si 0.250 0.250 0.750
Hg1 Hg 0.124 0.124 0.376
```



[3]
Crystalline NpGaCoRu at its relaxed geometry, computed with GGA-PBE.

Values from the calculation:
magnetic moment	2.781	μB/f.u.
ΔH_f (0 K)	-0.154	eV/atom
final energy	-8.241	eV per atom

Geometry as CIF:
```
data_NpGaCoRu
_cell_length_a 6.333
_cell_length_b 6.333
_cell_length_c 6.333
_cell_angle_alpha 90.00
_cell_angle_beta 90.00
_cell_angle_gamma 90.00
_space_group_name_H-M_alt 'F -4 3 m'
_space_group_IT_number 216
_space_group_name_Hall 'F -4 2 3'
loop_
_atom_site_label
_atom_site_type_symbol
_atom_site_fract_x
_atom_site_fract_y
_atom_site_fract_z
Np1 Np 0.000 0.000 0.000
Ga1 Ga 0.000 0.000 0.500
Co1 Co 0.250 0.250 0.750
Ru1 Ru 0.250 0.250 0.250
```



[4]
Crystalline La2AlSe at its relaxed geometry, computed with GGA-PBE.

Values from the calculation:
energy above the most stable polymorph in this dataset	668	meV per atom
magnetic moment	0.000	μB/f.u.
final energy	-4.772	eV per atom
formation energy from raw total energies	-0.501	eV/atom

Geometry as CIF:
```
data_La2AlSe
_cell_length_a 3.606
_cell_length_b 3.606
_cell_length_c 8.628
_cell_angle_alpha 90.00
_cell_angle_beta 90.00
_cell_angle_gamma 90.00
_space_group_name_H-M_alt 'P 4 m m'
_space_group_IT_number 99
loop_
_space_group_symop_operation_xyz
'x,y,z'
'-y,x,z'
'-x,-y,z'
'y,-x,z'
'-x,y,z'
'y,x,z'
'x,-y,z'
'-y,-x,z'
loop_
_atom_site_label
_atom_site_type_symbol
_atom_site_fract_x
_atom_site_fract_y
_atom_site_fract_z
La1 La 0.000 0.000 0.000
La2 La 0.500 0.500 0.387
Al1 Al 0.500 0.500 0.765
Se1 Se 0.000 0.000 0.596
```



[5]
Crystalline Ce4Mg3Ru2 at its relaxed geometry, computed with GGA-PBE.

Values from the calculation:
magnetic moment	2.105	μB/f.u.
ΔH_f (0 K)	-0.100	eV/atom
final energy	-5.331	eV per atom

Geometry as CIF:
```
data_Ce4Mg3Ru2
_cell_length_a 15.160
_cell_length_b 9.050
_cell_length_c 6.671
_cell_angle_alpha 90.00
_cell_angle_beta 92.24
_cell_angle_gamma 90.00
_space_group_name_H-M_alt 'C 1 2/c 1'
_space_group_IT_number 15
loop_
_space_group_symop_operation_xyz
'x,y,z'
'-x,-y,-z'
'-x,y,-z+1/2'
'x,-y,z+1/2'
'x+1/2,y+1/2,z'
'-x+1/2,-y+1/2,-z'
'-x+1/2,y+1/2,-z+1/2'
'x+1/2,-y+1/2,z+1/2'
loop_
_atom_site_label
_atom_site_type_symbol
_atom_site_fract_x
_atom_site_fract_y
_atom_site_fract_z
Ce1 Ce 0.086 0.230 0.145
Ce2 Ce 0.220 0.442 0.558
Mg1 Mg 0.000 0.436 0.750
Mg2 Mg 0.085 0.125 0.648
Ru1 Ru 0.239 0.244 0.800
```



[6]
Crystalline K2UCl5 at its relaxed geometry, computed with GGA-PBE.

Values from the calculation:
magnetic moment	3.000	μB/f.u.
final energy	-4.699	eV per atom
formation energy from raw total energies	-1.860	eV/atom

Geometry as CIF:
```
data_K2UCl5
_cell_length_a 13.054
_cell_length_b 8.810
_cell_length_c 8.162
_cell_angle_alpha 90.00
_cell_angle_beta 90.00
_cell_angle_gamma 90.00
_space_group_name_H-M_alt 'P n m a'
_space_group_IT_number 62
loop_
_space_group_symop_operation_xyz
'x,y,z'
'-x,-y,-z'
'-x+1/2,-y,z+1/2'
'x+1/2,y,-z+1/2'
'x+1/2,-y+1/2,-z+1/2'
'-x+1/2,y+1/2,z+1/2'
'-x,y+1/2,-z'
'x,-y+1/2,z'
loop_
_atom_site_label
_atom_site_type_symbol
_atom_site_fract_x
_atom_site_fract_y
_atom_site_fract_z
K1 K 0.171 0.003 0.044
U1 U 0.002 0.250 0.569
Cl1 Cl 0.008 0.250 0.918
Cl2 Cl 0.081 0.540 0.660
Cl3 Cl 0.175 0.250 0.368
Cl4 Cl 0.203 0.750 0.334
```



[7]
Crystalline Zr4Pt3 at its relaxed geometry, computed with GGA-PBE.

Values from the calculation:
energy above the most stable polymorph in this dataset	0	meV per atom
magnetic moment	0.000	μB/f.u.
ΔH_f (0 K)	-0.822	eV/atom
final energy	-8.295	eV per atom

Geometry as CIF:
```
data_Zr4Pt3
_cell_length_a 12.5915
_cell_length_b 12.5915
_cell_length_c 5.9194
_cell_angle_alpha 90.00
_cell_angle_beta 90.00
_cell_angle_gamma 120.00
_space_group_name_H-M_alt 'R -3'
_space_group_IT_number 148
_space_group_name_Hall '-R 3'
loop_
_atom_site_label
_atom_site_type_symbol
_atom_site_fract_x
_atom_site_fract_y
_atom_site_fract_z
Zr1 Zr 0.0000 0.0000 0.0000
Zr2 Zr 0.0000 0.0000 0.5000
Zr3 Zr 0.0511 0.2434 0.1865
Pt1 Pt 0.0496 0.2400 0.7133
```



[8]
Crystalline Hf3AuO at its relaxed geometry, computed with GGA-PBE.

Values from the calculation:
magnetic moment	0.000	μB/f.u.
final energy	-8.751	eV per atom
formation energy from raw total energies	-1.132	eV/atom

Geometry as CIF:
```
data_Hf3AuO
_cell_length_a 4.397
_cell_length_b 4.397
_cell_length_c 4.397
_cell_angle_alpha 90.00
_cell_angle_beta 90.00
_cell_angle_gamma 90.00
_space_group_name_H-M_alt 'P m -3 m'
_space_group_IT_number 221
_space_group_name_Hall '-P 4 2 3'
loop_
_atom_site_label
_atom_site_type_symbol
_atom_site_fract_x
_atom_site_fract_y
_atom_site_fract_z
Hf1 Hf 0.000 0.000 0.500
Au1 Au 0.500 0.500 0.500
O1 O 0.000 0.000 0.000
```



[9]
Crystalline Mg3PdPt at its relaxed geometry, computed with GGA-PBE.

Values from the calculation:
energy above the most stable polymorph in this dataset	109	meV per atom
magnetic moment	0.000	μB/f.u.
ΔH_f (0 K)	-0.570	eV/atom
final energy	-3.774	eV per atom

Geometry as CIF:
```
data_Mg3PdPt
_cell_length_a 14.934
_cell_length_b 8.657
_cell_length_c 5.703
_cell_angle_alpha 90.00
_cell_angle_beta 90.20
_cell_angle_gamma 90.00
_space_group_name_H-M_alt 'C 1 2/c 1'
_space_group_IT_number 15
loop_
_space_group_symop_operation_xyz
'x,y,z'
'-x,-y,-z'
'-x,y,-z+1/2'
'x,-y,z+1/2'
'x+1/2,y+1/2,z'
'-x+1/2,-y+1/2,-z'
'-x+1/2,y+1/2,-z+1/2'
'x+1/2,-y+1/2,z+1/2'
loop_
_atom_site_label
_atom_site_type_symbol
_atom_site_fract_x
_atom_site_fract_y
_atom_site_fract_z
Mg1 Mg 0.100 0.067 0.435
Mg2 Mg 0.101 0.431 0.565
Mg3 Mg 0.158 0.251 0.003
Pd1 Pd 0.000 0.209 0.750
Pd2 Pd 0.000 0.291 0.250
Pt1 Pt 0.250 0.002 0.695
```



[10]
Crystalline Sm4Sn2Pb at its relaxed geometry, computed with GGA-PBE.

Values from the calculation:
magnetic moment	0.000	μB/f.u.
ΔH_f (0 K)	-0.474	eV/atom
final energy	-4.844	eV per atom

Geometry as CIF:
```
data_Sm4Sn2Pb
_cell_length_a 4.9783
_cell_length_b 4.9783
_cell_length_c 32.7635
_cell_angle_alpha 90.00
_cell_angle_beta 90.00
_cell_angle_gamma 120.00
_space_group_name_H-M_alt 'R -3 m'
_space_group_IT_number 166
_space_group_name_Hall '-R 3 2"'
loop_
_atom_site_label
_atom_site_type_symbol
_atom_site_fract_x
_atom_site_fract_y
_atom_site_fract_z
Sm1 Sm 0.0000 0.0000 0.1190
Sm2 Sm 0.0000 0.0000 0.2986
Sn1 Sn 0.0000 0.0000 0.4025
Pb1 Pb 0.0000 0.0000 0.5000
```



[11]
Crystalline NiTe2HAu at its relaxed geometry, computed with GGA-PBE.

Values from the calculation:
magnetic moment	0.000	μB/f.u.
final energy	-3.317	eV per atom

Geometry as CIF:
```
data_NiTe2HAu
_cell_length_a 5.458
_cell_length_b 5.458
_cell_length_c 3.383
_cell_angle_alpha 90.00
_cell_angle_beta 90.00
_cell_angle_gamma 90.00
_space_group_name_H-M_alt 'P 4/m m m'
_space_group_IT_number 123
_space_group_name_Hall '-P 4 2'
loop_
_atom_site_label
_atom_site_type_symbol
_atom_site_fract_x
_atom_site_fract_y
_atom_site_fract_z
Ni1 Ni 0.000 0.000 0.000
Te1 Te 0.000 0.500 0.500
H1 H 0.500 0.500 0.000
Au1 Au 0.500 0.500 0.500
```



[12]
Crystalline PaGaS4 at its relaxed geometry, computed with GGA-PBE.

Values from the calculation:
energy above the most stable polymorph in this dataset	0	meV per atom
magnetic moment	0.000	μB/f.u.
final energy	-5.941	eV per atom
formation energy from raw total energies	-1.103	eV/atom

Geometry as CIF:
```
data_PaGaS4
_cell_length_a 8.587
_cell_length_b 8.587
_cell_length_c 7.948
_cell_angle_alpha 90.00
_cell_angle_beta 90.00
_cell_angle_gamma 90.00
_space_group_name_H-M_alt 'I 41/a m d'
_space_group_IT_number 141
loop_
_space_group_symop_operation_xyz
'x,y,z'
'-x,-y,-z'
'-y+1/4,x+3/4,z+1/4'
'y+1/4,-x+3/4,-z+1/4'
'-x+1/2,-y,z+1/2'
'x+1/2,y,-z+1/2'
'y+1/4,-x+1/4,z+3/4'
'-y+1/4,x+1/4,-z+3/4'
'x,-y,-z'
'-x,y,z'
'-y+1/4,-x+1/4,-z+3/4'
'y+1/4,x+1/4,z+3/4'
'-x+1/2,y,-z+1/2'
'x+1/2,-y,z+1/2'
'y+1/4,x+3/4,-z+1/4'
'-y+1/4,-x+3/4,z+1/4'
'x+1/2,y+1/2,z+1/2'
'-x+1/2,-y+1/2,-z+1/2'
'-y+3/4,x+1/4,z+3/4'
'y+3/4,-x+1/4,-z+3/4'
'-x,-y+1/2,z'
'x,y+1/2,-z'
'y+3/4,-x+3/4,z+1/4'
'-y+3/4,x+3/4,-z+1/4'
'x+1/2,-y+1/2,-z+1/2'
'-x+1/2,y+1/2,z+1/2'
'-y+3/4,-x+3/4,-z+1/4'
'y+3/4,x+3/4,z+1/4'
'-x,y+1/2,-z'
'x,-y+1/2,z'
'y+3/4,x+1/4,-z+3/4'
'-y+3/4,-x+1/4,z+3/4'
loop_
_atom_site_label
_atom_site_type_symbol
_atom_site_fract_x
_atom_site_fract_y
_atom_site_fract_z
Pa1 Pa 0.000 0.250 0.375
Ga1 Ga 0.000 0.250 0.875
S1 S 0.000 0.066 0.669
```



[13]
Crystalline CaZnCd2 at its relaxed geometry, computed with GGA-PBE.

Values from the calculation:
magnetic moment	0.000	μB/f.u.
ΔH_f (0 K)	-0.183	eV/atom
final energy	-1.459	eV per atom

Geometry as CIF:
```
data_CaZnCd2
_cell_length_a 4.542
_cell_length_b 4.542
_cell_length_c 4.607
_cell_angle_alpha 90.00
_cell_angle_beta 90.00
_cell_angle_gamma 90.00
_space_group_name_H-M_alt 'P 4/m m m'
_space_group_IT_number 123
_space_group_name_Hall '-P 4 2'
loop_
_atom_site_label
_atom_site_type_symbol
_atom_site_fract_x
_atom_site_fract_y
_atom_site_fract_z
Ca1 Ca 0.000 0.000 0.000
Zn1 Zn 0.500 0.500 0.000
Cd1 Cd 0.000 0.500 0.500
```



[14]
Crystalline ZnF at its relaxed geometry, computed with GGA-PBE.

Values from the calculation:
magnetic moment	0.000	μB/f.u.
final energy	-2.705	eV per atom
formation energy from raw total energies	-1.132	eV/atom

Geometry as CIF:
```
data_ZnF
_cell_length_a 6.290
_cell_length_b 6.290
_cell_length_c 6.290
_cell_angle_alpha 90.00
_cell_angle_beta 90.00
_cell_angle_gamma 90.00
_space_group_name_H-M_alt 'P m -3 n'
_space_group_IT_number 223
_space_group_name_Hall '-P 4n 2 3'
loop_
_atom_site_label
_atom_site_type_symbol
_atom_site_fract_x
_atom_site_fract_y
_atom_site_fract_z
Zn1 Zn 0.000 0.250 0.500
F1 F 0.000 0.500 0.250
```



[15]
Crystalline ErPu2Tc9 at its relaxed geometry, computed with GGA-PBE.

Values from the calculation:
magnetic moment	9.206	μB/f.u.
ΔH_f (0 K)	0.055	eV/atom
final energy	-10.488	eV per atom

Geometry as CIF:
```
data_ErPu2Tc9
_cell_length_a 9.019
_cell_length_b 5.206
_cell_length_c 9.576
_cell_angle_alpha 90.00
_cell_angle_beta 108.40
_cell_angle_gamma 90.00
_space_group_name_H-M_alt 'C 1 2/m 1'
_space_group_IT_number 12
loop_
_space_group_symop_operation_xyz
'x,y,z'
'-x,-y,-z'
'-x,y,-z'
'x,-y,z'
'x+1/2,y+1/2,z'
'-x+1/2,-y+1/2,-z'
'-x+1/2,y+1/2,-z'
'x+1/2,-y+1/2,z'
loop_
_atom_site_label
_atom_site_type_symbol
_atom_site_fract_x
_atom_site_fract_y
_atom_site_fract_z
Er1 Er 0.000 0.000 0.000
Pu1 Pu 0.146 0.000 0.437
Tc1 Tc 0.000 0.500 0.500
Tc2 Tc 0.084 0.500 0.246
Tc3 Tc 0.165 0.500 0.994
Tc4 Tc 0.169 0.247 0.754
```



[16]
Crystalline SrZnAgPd at its relaxed geometry, computed with GGA-PBE.

Values from the calculation:
magnetic moment	0.000	μB/f.u.
ΔH_f (0 K)	-0.416	eV/atom
final energy	-3.166	eV per atom

Geometry as CIF:
```
data_SrZnAgPd
_cell_length_a 7.840
_cell_length_b 4.526
_cell_length_c 5.904
_cell_angle_alpha 90.00
_cell_angle_beta 116.48
_cell_angle_gamma 90.00
_space_group_name_H-M_alt 'C 1 m 1'
_space_group_IT_number 8
loop_
_space_group_symop_operation_xyz
'x,y,z'
'x,-y,z'
'x+1/2,y+1/2,z'
'x+1/2,-y+1/2,z'
loop_
_atom_site_label
_atom_site_type_symbol
_atom_site_fract_x
_atom_site_fract_y
_atom_site_fract_z
Sr1 Sr 0.000 0.000 0.000
Zn1 Zn 0.016 0.500 0.547
Ag1 Ag 0.299 0.500 0.396
Pd1 Pd 0.201 0.000 0.603
```



[17]
Crystalline DyGaTc at its relaxed geometry, computed with GGA-PBE.

Values from the calculation:
energy above the most stable polymorph in this dataset	159	meV per atom
magnetic moment	0.000	μB/f.u.
ΔH_f (0 K)	-0.293	eV/atom
final energy	-6.291	eV per atom

Geometry as CIF:
```
data_DyGaTc
_cell_length_a 3.417
_cell_length_b 14.853
_cell_length_c 4.585
_cell_angle_alpha 90.00
_cell_angle_beta 90.00
_cell_angle_gamma 90.00
_space_group_name_H-M_alt 'C m c m'
_space_group_IT_number 63
_space_group_name_Hall '-C 2c 2'
loop_
_atom_site_label
_atom_site_type_symbol
_atom_site_fract_x
_atom_site_fract_y
_atom_site_fract_z
Dy1 Dy 0.000 0.081 0.250
Ga1 Ga 0.000 0.368 0.250
Tc1 Tc 0.000 0.265 0.750
```